Record 1
Material: CaTb4Pb5
Method: DFT, PBE
State: relaxed

Cell and atoms, written as POSCAR:
```
CaTb4Pb5
1.0
-1.3042 -3.1636 0.9524
3.1732 -1.4845 -0.5859
5.8726 4.0585 21.5234
Pb Tb Ca
5 4 1
Cartesian
1.5385 -1.9066 2.3969
3.8708 -0.2948 10.9450
2.7059 -1.0998 6.6756
5.0357 0.5103 15.2143
6.2031 1.3171 19.4930
1.1896 0.8221 4.3598
2.3552 1.6277 8.6319
4.6830 3.2364 17.1636
3.5174 2.4309 12.8915
0.0000 0.0000 0.0000
```

Calculated values
* symmetry: No. 123
* energy of formation from the pure elements: -0.469 eV per atom

=====

Record 2
Material: CaTb5Pb4
Method: DFT, PBE
State: relaxed

Cell and atoms, written as POSCAR:
```
CaTb5Pb4
1.0
3.6782 0.0000 0.0000
0.0000 9.8179 0.7429
-1.8391 -0.7420 8.8137
Pb Tb Ca
4 5 1
Cartesian
0.0000 8.6475 6.2947
0.0000 2.4147 0.6886
1.8391 6.6612 8.8680
1.8391 0.4284 3.2619
0.0000 7.2511 3.2665
1.8391 5.5304 5.9024
1.8391 4.9089 0.3714
0.0000 3.5455 3.6542
1.8391 1.8248 6.2900
1.8391 0.0000 0.0000
```

Calculated values
* symmetry: No. 12
* energy of formation from the pure elements: -0.198 eV per atom